PBE Dy2NpS4, relaxed; energy above the lowest structure with this stoichiometry = 0.0000 eV per atom; uncorrected formation energy = -1.843 eV per atom
1.0
12.955 0.000 0.000
0.000 3.841 0.000
0.000 0.000 12.995
Dy Np S
8 4 16
Direct
0.110 0.250 0.080
0.149 0.250 0.704
0.351 0.750 0.204
0.390 0.750 0.580
0.610 0.250 0.420
0.649 0.250 0.796
0.851 0.750 0.296
0.890 0.750 0.920
0.126 0.750 0.422
0.374 0.250 0.922
0.626 0.750 0.078
0.874 0.250 0.578
0.028 0.750 0.617
0.033 0.250 0.881
0.212 0.250 0.269
0.248 0.750 0.022
0.252 0.250 0.522
0.288 0.750 0.769
0.467 0.750 0.381
0.472 0.250 0.117
0.528 0.750 0.883
0.533 0.250 0.619
0.712 0.250 0.231
0.748 0.750 0.478
0.752 0.250 0.978
0.788 0.750 0.731
0.967 0.750 0.119
0.972 0.250 0.383